[1]
This record from Alexandria describes crystalline CaTb2HgPd4 at its relaxed geometry. The functional is GGA-PBE.

Calculated values
Volume: 20.77 A^3/atom
ρ: 9.84 g/cm3
Fermi-level density of states: 2.70 states/eV per cell
SG: R-3m, No. 166

Geometry as POSCAR:
```
CaTb2HgPd4
1.0
-1.868 4.437 0.828
-2.563 0.850 4.070
5.276 3.894 5.440
Pd Tb Hg Ca
4 2 1 1
direct
0.877 0.877 0.368
0.123 0.123 0.632
0.625 0.625 0.126
0.375 0.375 0.874
0.756 0.756 0.731
0.244 0.244 0.269
0.500 0.500 0.500
0.000 0.000 0.000
```

***

[2]
This record from Alexandria describes crystalline CaThHgPd at its relaxed geometry. The functional is GGA-PBE.

Calculated values
Volume: 25.30 A^3/atom
ρ: 9.50 g/cm3
Fermi-level density of states: 3.64 states/eV per cell
SG: F-43m, No. 216

Geometry as POSCAR:
```
CaThHgPd
1.0
5.231 0.000 0.000
2.615 4.530 0.000
2.615 1.510 4.271
Pd Th Ca Hg
1 1 1 1
direct
0.000 0.000 0.000
0.750 0.750 0.750
0.250 0.250 0.250
0.500 0.500 0.500
```

***

[3]
This record from Alexandria describes crystalline Ca2Tl2HgPd5 at its relaxed geometry. The functional is GGA-PBE.

Calculated values
Volume: 20.90 A^3/atom
ρ: 9.71 g/cm3
Fermi-level density of states: 5.03 states/eV per cell
SG: P4/mbm, No. 127

Geometry as POSCAR:
```
Ca2Tl2HgPd5
1.0
-3.186 0.660 -2.210
-6.039 -1.930 8.128
0.279 9.977 2.576
Pd Ca Tl Hg
10 4 4 2
direct
0.500 0.440 0.307
0.500 0.193 0.060
0.500 0.940 0.193
0.500 0.000 0.500
0.500 0.560 0.693
0.500 0.500 0.000
0.500 0.307 0.560
0.500 0.807 0.940
0.500 0.060 0.807
0.500 0.693 0.440
0.000 0.830 0.670
0.000 0.330 0.830
0.000 0.670 0.170
0.000 0.170 0.330
0.000 0.129 0.629
0.000 0.371 0.129
0.000 0.629 0.871
0.000 0.871 0.371
0.000 0.000 0.000
0.000 0.500 0.500
```

***

[4]
This record from Alexandria describes crystalline CaTmHgPd at its relaxed geometry. The functional is GGA-PBE.

Calculated values
Volume: 23.32 A^3/atom
ρ: 9.19 g/cm3
Fermi-level density of states: 3.51 states/eV per cell
SG: F-43m, No. 216

Geometry as POSCAR:
```
CaTmHgPd
1.0
-0.092 -4.447 2.476
2.959 -0.701 4.082
-2.085 -0.290 4.635
Hg Tm Pd Ca
1 1 1 1
direct
0.500 0.500 0.500
0.250 0.250 0.250
0.000 0.000 0.000
0.750 0.750 0.750
```

***

Formation energy from the elements in eV/atom, matching the order above: -0.72; -0.47; -0.37; -0.60
Spin magnetization in μB per formula unit, matching the order above: 0.0; 0.0; 0.0; 0.0